[1]
First-principles (GGA-PBE) data for a geometry-optimized Ac3Tl2Cd4 structure, as listed in OQMD via LeMat-Bulk.

Structure (POSCAR):
```
Ac3Tl2Cd4
1.0
5.953 -2.583 0.000
5.953 2.583 0.000
-4.136 0.000 8.923
Ac Tl Cd
3 2 4
Direct
0.000 0.000 0.000
0.334 0.334 0.330
0.666 0.666 0.670
0.389 0.389 0.724
0.611 0.611 0.276
0.069 0.069 0.407
0.288 0.288 0.961
0.712 0.712 0.039
0.931 0.931 0.593
```

Computed properties:
Total moment = 0.00 μB per atom
Symmetry = C2/m (12)
Mass density = 9.31 g cm⁻³
Uncorrected energy = -2.64 eV per atom

***

[2]
First-principles (GGA-PBE) data for a geometry-optimized LiCoGeS3 structure, as listed in OQMD via LeMat-Bulk.

Structure (POSCAR):
```
LiCoGeS3
1.0
5.813 0.000 0.000
0.000 3.484 0.000
-2.209 0.000 10.073
Li Co Ge S
2 2 2 6
Direct
0.049 0.250 0.150
0.951 0.750 0.850
0.450 0.750 0.856
0.550 0.250 0.144
0.357 0.250 0.561
0.643 0.750 0.439
0.167 0.750 0.658
0.287 0.250 0.949
0.367 0.750 0.230
0.633 0.250 0.770
0.713 0.750 0.051
0.833 0.250 0.342
```

Computed properties:
Total moment = 0.00 μB per atom
Symmetry = P2_1/m (11)
Mass density = 3.82 g cm⁻³
Uncorrected energy = -4.90 eV per atom

***

[3]
First-principles (GGA-PBE) data for a geometry-optimized BaNaTa structure, as listed in OQMD via LeMat-Bulk.

Structure (POSCAR):
```
BaNaTa
1.0
7.887 0.000 0.000
0.000 7.887 0.000
0.000 0.000 7.887
Ba Na Ta
4 4 4
Direct
0.000 0.000 0.000
0.000 0.500 0.500
0.500 0.000 0.500
0.500 0.500 0.000
0.250 0.250 0.750
0.250 0.750 0.250
0.750 0.250 0.250
0.750 0.750 0.750
0.250 0.250 0.250
0.250 0.750 0.750
0.750 0.250 0.750
0.750 0.750 0.250
```

Computed properties:
Total moment = 1.29 μB per atom
Symmetry = F-43m (216)
Mass density = 4.62 g cm⁻³
Uncorrected energy = -3.16 eV per atom

***

[4]
First-principles (GGA-PBE) data for a geometry-optimized Cu3CSe4 structure, as listed in OQMD via LeMat-Bulk.

Structure (POSCAR):
```
Cu3CSe4
1.0
5.374 0.000 0.000
0.000 5.374 0.000
0.000 0.000 10.430
Cu C Se
6 2 8
Direct
0.000 0.000 0.000
0.000 0.500 0.250
0.000 0.500 0.750
0.500 0.000 0.250
0.500 0.000 0.750
0.500 0.500 0.500
0.000 0.000 0.500
0.500 0.500 0.000
0.218 0.218 0.614
0.218 0.782 0.386
0.282 0.282 0.114
0.282 0.718 0.886
0.718 0.282 0.886
0.718 0.718 0.114
0.782 0.218 0.386
0.782 0.782 0.614
```

Computed properties:
Symmetry = I-42m (121)
Mass density = 5.72 g cm⁻³
Uncorrected energy = -4.12 eV per atom

***

[5]
First-principles (GGA-PBE) data for a geometry-optimized Co2Re structure, as listed in OQMD via LeMat-Bulk.

Structure (POSCAR):
```
Co2Re
1.0
8.727 0.000 0.000
0.000 8.727 0.000
0.000 0.000 4.850
Co Re
20 10
Direct
0.041 0.366 0.000
0.066 0.268 0.500
0.098 0.098 0.000
0.134 0.541 0.500
0.232 0.566 0.000
0.268 0.066 0.500
0.366 0.041 0.000
0.402 0.598 0.500
0.434 0.768 0.000
0.459 0.866 0.500
0.541 0.134 0.500
0.566 0.232 0.000
0.598 0.402 0.500
0.634 0.959 0.000
0.732 0.934 0.500
0.768 0.434 0.000
0.866 0.459 0.500
0.902 0.902 0.000
0.934 0.732 0.500
0.959 0.634 0.000
0.000 0.000 0.500
0.187 0.813 0.249
0.187 0.813 0.751
0.313 0.313 0.251
0.313 0.313 0.749
0.500 0.500 0.000
0.687 0.687 0.251
0.687 0.687 0.749
0.813 0.187 0.249
0.813 0.187 0.751
```

Computed properties:
Total moment = 0.71 μB per atom
Symmetry = P4_2/mnm (136)
Energy relative to the elements = 0.204 eV/atom
Mass density = 13.67 g cm⁻³

***

[6]
First-principles (GGA-PBE) data for a geometry-optimized Zr2Ga2Ir structure, as listed in OQMD via LeMat-Bulk.

Structure (POSCAR):
```
Zr2Ga2Ir
1.0
3.642 0.000 0.000
0.000 3.642 0.000
0.000 0.000 13.675
Zr Ga Ir
4 4 2
Direct
0.000 0.000 0.096
0.000 0.000 0.904
0.500 0.500 0.404
0.500 0.500 0.596
0.000 0.500 0.250
0.000 0.500 0.750
0.500 0.000 0.250
0.500 0.000 0.750
0.000 0.000 0.500
0.500 0.500 0.000
```

Computed properties:
Total moment = 0.01 μB per atom
Symmetry = I4/mmm (139)
Mass density = 9.41 g cm⁻³
Uncorrected energy = -6.45 eV per atom

***

[7]
First-principles (GGA-PBE) data for a geometry-optimized Pm4PrBi5 structure, as listed in OQMD via LeMat-Bulk.

Structure (POSCAR):
```
Pm4PrBi5
1.0
-2.289 2.289 16.180
2.289 -2.289 16.180
2.289 2.289 -16.180
Pm Pr Bi
4 1 5
Direct
0.100 0.100 0.000
0.300 0.300 0.000
0.700 0.700 0.000
0.900 0.900 0.000
0.500 0.500 0.000
0.000 0.000 0.000
0.200 0.200 0.000
0.399 0.399 0.000
0.601 0.601 0.000
0.800 0.800 0.000
```

Computed properties:
Total moment = 0.00 μB per atom
Symmetry = I4/mmm (139)
Mass density = 8.65 g cm⁻³
Uncorrected energy = -5.36 eV per atom

***

[8]
First-principles (GGA-PBE) data for a geometry-optimized Na2H6PdPt structure, as listed in OQMD via LeMat-Bulk.

Structure (POSCAR):
```
Na2H6PdPt
1.0
0.000 3.603 3.603
3.603 0.000 3.603
3.603 3.603 0.000
Na H Pd Pt
2 6 1 1
Direct
0.250 0.250 0.250
0.750 0.750 0.750
0.242 0.242 0.758
0.242 0.758 0.242
0.242 0.758 0.758
0.758 0.242 0.242
0.758 0.242 0.758
0.758 0.758 0.242
0.500 0.500 0.500
0.000 0.000 0.000
```

Computed properties:
Total moment = 0.00 μB per atom
Symmetry = Fm-3m (225)
Mass density = 6.28 g cm⁻³
Uncorrected energy = -3.72 eV per atom

***

[9]
First-principles (GGA-PBE) data for a geometry-optimized Zr2ScN3 structure, as listed in OQMD via LeMat-Bulk.

Structure (POSCAR):
```
Zr2ScN3
1.0
3.222 0.000 0.000
0.000 4.559 0.000
0.000 0.000 9.713
Zr Sc N
4 2 6
Direct
0.000 0.000 0.165
0.000 0.000 0.835
0.500 0.500 0.335
0.500 0.500 0.665
0.000 0.000 0.500
0.500 0.500 0.000
0.000 0.500 0.164
0.000 0.500 0.500
0.000 0.500 0.836
0.500 0.000 0.000
0.500 0.000 0.336
0.500 0.000 0.664
```

Computed properties:
Total moment = 0.00 μB per atom
Symmetry = Immm (71)
Mass density = 6.27 g cm⁻³
Uncorrected energy = -9.86 eV per atom

***

[10]
First-principles (GGA-PBE) data for a geometry-optimized Be2TcPd structure, as listed in OQMD via LeMat-Bulk.

Structure (POSCAR):
```
Be2TcPd
1.0
5.837 0.000 0.000
0.000 5.837 0.000
0.000 0.000 5.837
Be Tc Pd
8 4 4
Direct
0.000 0.000 0.000
0.000 0.500 0.500
0.250 0.250 0.250
0.250 0.750 0.750
0.500 0.000 0.500
0.500 0.500 0.000
0.750 0.250 0.750
0.750 0.750 0.250
0.000 0.000 0.500
0.000 0.500 0.000
0.500 0.000 0.000
0.500 0.500 0.500
0.250 0.250 0.750
0.250 0.750 0.250
0.750 0.250 0.250
0.750 0.750 0.750
```

Computed properties:
Total moment = 0.46 μB per atom
Symmetry = F-43m (216)
Mass density = 7.43 g cm⁻³
Uncorrected energy = -5.55 eV per atom

***

[11]
First-principles (GGA-PBE) data for a geometry-optimized TlNi10 structure, as listed in OQMD via LeMat-Bulk.

Structure (POSCAR):
```
TlNi10
1.0
3.875 -1.751 0.000
3.875 1.751 0.000
-0.110 0.000 29.491
Tl Ni
2 20
Direct
0.151 0.151 0.201
0.849 0.849 0.799
0.049 0.049 0.407
0.051 0.051 0.672
0.147 0.147 0.751
0.150 0.150 0.487
0.248 0.248 0.300
0.251 0.251 0.566
0.349 0.349 0.381
0.351 0.351 0.646
0.450 0.450 0.460
0.451 0.451 0.726
0.549 0.549 0.274
0.550 0.550 0.540
0.649 0.649 0.354
0.651 0.651 0.619
0.749 0.749 0.434
0.752 0.752 0.700
0.850 0.850 0.513
0.853 0.853 0.249
0.949 0.949 0.328
0.951 0.951 0.593
```

Computed properties:
Total moment = 0.50 μB per atom
Symmetry = C2/m (12)
Mass density = 6.57 g cm⁻³
Uncorrected energy = -5.19 eV per atom

***

[12]
First-principles (GGA-PBE) data for a geometry-optimized CsTbSO structure, as listed in OQMD via LeMat-Bulk.

Structure (POSCAR):
```
CsTbSO
1.0
8.205 0.000 0.000
0.000 7.398 0.000
-1.642 0.000 6.520
Cs Tb S O
4 4 4 4
Direct
0.080 0.241 0.002
0.080 0.259 0.502
0.920 0.741 0.498
0.920 0.759 0.998
0.480 0.628 0.277
0.480 0.872 0.777
0.520 0.128 0.223
0.520 0.372 0.723
0.274 0.596 0.857
0.274 0.904 0.357
0.726 0.096 0.643
0.726 0.404 0.143
0.402 0.144 0.879
0.402 0.356 0.379
0.598 0.644 0.621
0.598 0.856 0.121
```

Computed properties:
Total moment = 0.00 μB per atom
Symmetry = P2_1/c (14)
Mass density = 5.70 g cm⁻³
Uncorrected energy = -5.87 eV per atom